Run one
Crystalline ReNi2 at its relaxed geometry, computed with GGA-PBEsol.

Computed properties:
As for the space group: P6_3/mmc. Its crystal system is hexagonal. For the total moment, the calculation gives 3.83 μB/cell.

Cell lengths 4.600, 4.600, 14.985 Å; angles 90.00, 90.00, 120.00 degrees
Sites, in units of the cell vectors:
Re  0.000  0.000  0.095
Re  0.000  0.000  0.405
Re  0.000  0.000  0.595
Re  0.000  0.000  0.905
Re  0.333  0.667  0.157
Re  0.333  0.667  0.343
Re  0.667  0.333  0.657
Re  0.667  0.333  0.843
Ni  0.000  0.500  0.000
Ni  0.000  0.500  0.500
Ni  0.163  0.327  0.750
Ni  0.163  0.837  0.750
Ni  0.327  0.163  0.250
Ni  0.333  0.667  0.625
Ni  0.333  0.667  0.875
Ni  0.500  0.000  0.000
Ni  0.500  0.000  0.500
Ni  0.500  0.500  0.000
Ni  0.500  0.500  0.500
Ni  0.667  0.333  0.125
Ni  0.667  0.333  0.375
Ni  0.673  0.837  0.750
Ni  0.837  0.163  0.250
Ni  0.837  0.673  0.250



Run two
Crystalline ReNi2 at its relaxed geometry, computed with GGA-PBEsol.

Computed properties:
As for the space group: Cmcm. Its crystal system is orthorhombic. For the total moment, the calculation gives 0.00 μB/cell.

Cell lengths 6.787, 6.787, 4.117 Å; angles 90.00, 90.00, 158.23 degrees
Sites, in units of the cell vectors:
Re  0.114  0.886  0.750
Re  0.886  0.114  0.250
Ni  0.219  0.781  0.250
Ni  0.448  0.552  0.750
Ni  0.552  0.448  0.250
Ni  0.781  0.219  0.750



What are the relative energies? In meV/atom: run one 21; run two 0.



Run one
Crystalline Re5Ni at its relaxed geometry, computed with GGA-PBEsol.

Computed properties:
As for the space group: Cm. Its crystal system is monoclinic. For the total moment, the calculation gives 0.00 μB/cell.

Cell lengths 5.134, 5.134, 6.376 Å; angles 104.15, 104.15, 31.13 degrees
Sites, in units of the cell vectors:
Re  0.000  0.000  0.000
Re  0.053  0.053  0.601
Re  0.326  0.326  0.663
Re  0.381  0.381  0.277
Re  0.715  0.715  0.947
Ni  0.661  0.661  0.333



Run two
Crystalline Re5Ni at its relaxed geometry, computed with GGA-PBEsol.

Computed properties:
As for the space group: Amm2. Its crystal system is orthorhombic. For the total moment, the calculation gives 0.00 μB/cell.

Cell lengths 4.333, 7.185, 7.185 Å; angles 22.05, 90.00, 90.00 degrees
Sites, in units of the cell vectors:
Re  0.000  0.000  0.000
Re  0.000  0.327  0.327
Re  0.500  0.217  0.217
Re  0.500  0.556  0.556
Re  0.500  0.888  0.888
Ni  0.000  0.667  0.667



Run three
Crystalline Re5Ni at its relaxed geometry, computed with GGA-PBEsol.

Computed properties:
As for the space group: P-62m. Its crystal system is hexagonal. For the total moment, the calculation gives 0.00 μB/cell.

Cell lengths 4.719, 4.719, 4.344 Å; angles 90.00, 90.00, 120.00 degrees
Sites, in units of the cell vectors:
Re  0.000  0.673  0.000
Re  0.327  0.327  0.000
Re  0.333  0.667  0.500
Re  0.667  0.333  0.500
Re  0.673  0.000  0.000
Ni  0.000  0.000  0.500



What are the relative energies? In meV/atom: run one 54; run two 33; run three 0.



Run one
Crystalline Re2Ni at its relaxed geometry, computed with GGA-PBEsol.

Computed properties:
As for the space group: Cmcm. Its crystal system is orthorhombic. For the total moment, the calculation gives 0.00 μB/cell.

Cell lengths 7.125, 7.125, 4.281 Å; angles 90.00, 90.00, 158.43 degrees
Sites, in units of the cell vectors:
Re  0.052  0.948  0.750
Re  0.279  0.721  0.250
Re  0.721  0.279  0.750
Re  0.948  0.052  0.250
Ni  0.390  0.610  0.750
Ni  0.610  0.390  0.250



Run two
Crystalline Re2Ni at its relaxed geometry, computed with GGA-PBEsol.

Computed properties:
As for the space group: P-62m. Its crystal system is hexagonal. For the total moment, the calculation gives 0.00 μB/cell.

Cell lengths 7.177, 7.177, 2.664 Å; angles 90.00, 90.00, 120.00 degrees
Sites, in units of the cell vectors:
Re  0.000  0.303  0.000
Re  0.000  0.637  0.500
Re  0.303  0.000  0.000
Re  0.363  0.363  0.500
Re  0.637  0.000  0.500
Re  0.697  0.697  0.000
Ni  0.000  0.000  0.500
Ni  0.333  0.667  0.000
Ni  0.667  0.333  0.000



What are the relative energies? In meV/atom: run one 0; run two 34.



Run one
Crystalline ReNiRh2 at its relaxed geometry, computed with GGA-PBEsol.

Computed properties:
As for the space group: P4/mmm. Its crystal system is tetragonal. For the total moment, the calculation gives 0.01 μB/cell.

Cell lengths 2.680, 2.680, 7.295 Å; angles 90.00, 90.00, 90.00 degrees
Sites, in units of the cell vectors:
Re  0.000  0.000  0.000
Ni  0.000  0.000  0.500
Rh  0.500  0.500  0.256
Rh  0.500  0.500  0.744



Run two
Crystalline ReNiRh2 at its relaxed geometry, computed with GGA-PBEsol.

Computed properties:
As for the space group: F-43m. Its crystal system is cubic. For the total moment, the calculation gives 0.00 μB/cell.

Cell lengths 4.211, 4.211, 4.211 Å; angles 60.00, 60.00, 60.00 degrees
Sites, in units of the cell vectors:
Re  0.000  0.000  0.000
Ni  0.250  0.250  0.250
Rh  0.500  0.500  0.500
Rh  0.750  0.750  0.750



What are the relative energies? In meV/atom: run one 0; run two 319.



Run one
Crystalline ReNiRh at its relaxed geometry, computed with GGA-PBEsol.

Computed properties:
As for the space group: F-43m. Its crystal system is cubic. For the total moment, the calculation gives 0.00 μB/cell.

Cell lengths 3.942, 3.942, 3.942 Å; angles 60.00, 60.00, 60.00 degrees
Sites, in units of the cell vectors:
Re  0.000  0.000  0.000
Ni  0.750  0.750  0.750
Rh  0.500  0.500  0.500



Run two
Crystalline ReNiRh at its relaxed geometry, computed with GGA-PBEsol.

Computed properties:
As for the space group: I4mm. Its crystal system is tetragonal. For the total moment, the calculation gives 0.00 μB/cell.

Cell lengths 5.718, 5.718, 5.718 Å; angles 152.93, 152.93, 38.66 degrees
Sites, in units of the cell vectors:
Re  0.000  0.000  0.000
Ni  0.341  0.341  0.000
Rh  0.672  0.672  0.000



What are the relative energies? In meV/atom: run one 715; run two 0.



Run one
Crystalline ReNi2Rh at its relaxed geometry, computed with GGA-PBEsol.

Computed properties:
As for the space group: Pmm2. Its crystal system is orthorhombic. For the total moment, the calculation gives 0.00 μB/cell.

Cell lengths 2.637, 3.660, 5.089 Å; angles 90.00, 90.00, 90.00 degrees
Sites, in units of the cell vectors:
Re  0.000  0.000  0.000
Ni  0.000  0.000  0.522
Ni  0.500  0.500  0.752
Rh  0.500  0.500  0.258



Run two
Crystalline ReNi2Rh at its relaxed geometry, computed with GGA-PBEsol.

Computed properties:
As for the space group: Cm. Its crystal system is monoclinic. For the total moment, the calculation gives 0.00 μB/cell.

Cell lengths 4.506, 4.506, 4.404 Å; angles 100.14, 100.14, 33.81 degrees
Sites, in units of the cell vectors:
Re  0.000  0.000  0.000
Ni  0.496  0.496  0.487
Ni  0.749  0.749  0.253
Rh  0.246  0.246  0.750



What are the relative energies? In meV/atom: run one 0; run two 12.